SiAg3Mo, optimized geometry, DFT GGA-PBEsol; SG = Pm-3m; E_form (uncorrected) = 5.5 eV per formula unit
1.0
4.629 0.000 0.000
0.000 4.629 0.000
0.000 0.000 4.629
Mo Si Ag
1 1 3
direct
0.500 0.500 0.500
0.000 0.000 0.000
0.000 0.500 0.000
0.000 0.000 0.500
0.500 0.000 0.000